(1)
Computed, not measured: a relaxed structure of Ho2CoSe at the PBE-GGA level of DFT.

Cell and atoms, written as POSCAR:
```
Ho2CoSe
1.0
-0.8334 1.1920 3.6729
-3.8488 0.5056 -1.0374
-0.2246 -10.6726 3.4128
Ho Co Se
4 2 2
Direct
0.7500 0.6706 0.3412 Ho
0.2500 0.3294 0.6588 Ho
0.7500 0.9367 0.8734 Ho
0.2500 0.0633 0.1266 Ho
0.2500 0.4714 0.9428 Co
0.7500 0.5286 0.0572 Co
0.2500 0.1946 0.3892 Se
0.7500 0.8054 0.6108 Se
```

- Space-group type: Cmcm, No. 63
- Crystal system: orthorhombic
- Energy relative to the lowest polymorph listed for this composition: 0.0 meV per atom
- Formation energy without anion corrections: -0.972 eV/atom


(2)
Computed, not measured: a relaxed structure of HoCoSe2 at the PBE-GGA level of DFT.

Cell and atoms, written as POSCAR:
```
HoCoSe2
1.0
3.6243 0.0000 0.0000
1.8122 3.1387 0.0000
1.8122 1.0462 8.0337
Co Ho Se
1 1 2
Direct
0.5000 0.5000 0.5000 Co
0.0000 0.0000 0.0000 Ho
0.1167 0.1167 0.6499 Se
0.8833 0.8833 0.3501 Se
```

- Space-group type: R-3m, No. 166
- Crystal system: trigonal
- Formation energy without anion corrections: -0.379 eV/atom